Record 1
Y2MgCuBi: optimized geometry, PBE-GGA.

Computed properties:
SG: P4/mmm (123)

Cell and atoms, written as extended XYZ:
```
5
Lattice="5.610 0.000 0.000 0.000 5.610 0.000 0.000 0.000 5.158" Properties=species:S:1:pos:R:3 pbc="T T T"
Y 0.000 2.805 0.000
Y 2.805 0.000 0.000
Mg 0.000 0.000 0.000
Cu 2.805 2.805 2.579
Bi 0.000 0.000 2.579
```


Record 2
Mn3CuBi: optimized geometry, PBE-GGA.

Computed properties:
SG: Pm-3m (221)

Cell and atoms, written as extended XYZ:
```
5
Lattice="4.623 0.000 0.000 0.000 4.623 0.000 0.000 0.000 4.623" Properties=species:S:1:pos:R:3 pbc="T T T"
Mn 0.000 0.000 2.312
Mn 0.000 2.312 0.000
Mn 2.312 0.000 0.000
Cu 0.000 0.000 0.000
Bi 2.312 2.312 2.312
```


Record 3
MnCuBi2: optimized geometry, PBE-GGA.

Computed properties:
SG: I-42d (122)

Cell and atoms, written as extended XYZ:
```
8
Lattice="-3.817 3.817 3.275 3.817 -3.817 3.275 3.817 3.817 -3.275" Properties=species:S:1:pos:R:3 pbc="T T T"
Mn 0.000 0.000 0.000
Mn 0.000 3.817 1.637
Cu 3.817 0.000 1.637
Cu 0.000 0.000 3.275
Bi 1.909 -1.765 2.456
Bi 2.052 1.909 0.819
Bi 1.909 5.582 -0.819
Bi 1.765 1.909 4.093
```


no.,spin magnetization (μB per cell),calculated formation energy (eV/atom)
1,0.0,0.714
2,11.7,0.639
3,7.9,0.448